# 1
This record from Alexandria describes HfInTc3 after structural relaxation. The functional is PBEsol.

```
HfInTc3
1.0
4.699 0.000 0.000
0.000 4.699 0.000
0.000 0.000 4.699
Hf In Tc
1 1 3
Direct
0.000 0.000 0.000
0.500 0.500 0.500
0.000 0.000 0.500
0.000 0.500 0.000
0.500 0.000 0.000
```

Values from the calculation:
- total magnetization (μB per formula unit) = 2.7
- electronic total energy (eV/cell) = -38.575
- volume (Å³/cell) = 103.8
- DFT formation energy (eV/atom) = 1.742

# 2
This record from Alexandria describes YHfInTc2 after structural relaxation. The functional is PBEsol.

```
YHfInTc2
1.0
4.693 0.000 0.000
0.000 4.693 0.000
0.000 0.000 5.058
Y Hf In Tc
1 1 1 2
Direct
0.000 0.000 0.000
0.000 0.000 0.500
0.500 0.500 0.500
0.000 0.500 0.000
0.500 0.000 0.000
```

Values from the calculation:
- total magnetization (μB per formula unit) = 0.0
- electronic total energy (eV/cell) = -33.597
- volume (Å³/cell) = 111.4
- DFT formation energy (eV/atom) = 1.849

# 3
This record from Alexandria describes Hf3ZnIn after structural relaxation. The functional is PBEsol.

```
Hf3ZnIn
1.0
4.853 0.000 0.000
0.000 4.853 0.000
0.000 0.000 4.853
Hf Zn In
3 1 1
Direct
0.000 0.000 0.500
0.000 0.500 0.000
0.500 0.000 0.000
0.000 0.000 0.000
0.500 0.500 0.500
```

Values from the calculation:
- total magnetization (μB per formula unit) = 0.0
- electronic total energy (eV/cell) = -33.881
- volume (Å³/cell) = 114.3
- DFT formation energy (eV/atom) = 0.439

# 4
This record from Alexandria describes HfZrIn2 after structural relaxation. The functional is PBEsol.

```
HfZrIn2
1.0
6.965 0.000 0.000
0.000 6.965 0.000
0.000 0.000 6.965
Hf Zr In
4 4 8
Direct
0.000 0.000 0.000
0.000 0.500 0.500
0.500 0.000 0.500
0.500 0.500 0.000
0.000 0.000 0.500
0.000 0.500 0.000
0.500 0.000 0.000
0.500 0.500 0.500
0.250 0.250 0.250
0.250 0.250 0.750
0.250 0.750 0.250
0.250 0.750 0.750
0.750 0.250 0.250
0.750 0.250 0.750
0.750 0.750 0.250
0.750 0.750 0.750
```

Values from the calculation:
- total magnetization (μB per formula unit) = 0.0
- electronic total energy (eV/cell) = -104.042
- volume (Å³/cell) = 337.8
- DFT formation energy (eV/atom) = -0.113

# 5
This record from Alexandria describes HfZr3In after structural relaxation. The functional is PBEsol.

```
HfZr3In
1.0
5.176 0.000 0.000
0.000 5.176 0.000
0.000 0.000 5.176
Hf Zr In
1 3 1
Direct
0.000 0.000 0.000
0.000 0.500 0.500
0.500 0.000 0.500
0.500 0.500 0.000
0.500 0.500 0.500
```

Values from the calculation:
- total magnetization (μB per formula unit) = 2.1
- electronic total energy (eV/cell) = -34.921
- volume (Å³/cell) = 138.6
- DFT formation energy (eV/atom) = 1.167

# 6
This record from Alexandria describes HfIr after structural relaxation. The functional is PBEsol.

```
HfIr
1.0
3.065 0.000 0.000
0.000 4.507 0.000
-0.839 0.000 4.984
Hf Ir
2 2
Direct
0.088 0.250 0.281
0.912 0.750 0.719
0.441 0.250 0.809
0.559 0.750 0.191
```

Values from the calculation:
- total magnetization (μB per formula unit) = 0.0
- electronic total energy (eV/cell) = -44.372
- volume (Å³/cell) = 68.9
- DFT formation energy (eV/atom) = -0.930

# 7
This record from Alexandria describes Hf5Ir3 after structural relaxation. The functional is PBEsol.

```
Hf5Ir3
1.0
7.887 0.000 0.000
-3.943 6.830 0.000
0.000 0.000 5.422
Hf Ir
10 6
Direct
0.000 0.241 0.250
0.000 0.759 0.750
0.241 0.000 0.250
0.241 0.241 0.750
0.333 0.667 0.000
0.333 0.667 0.500
0.667 0.333 0.000
0.667 0.333 0.500
0.759 0.000 0.750
0.759 0.759 0.250
0.000 0.399 0.750
0.000 0.601 0.250
0.399 0.000 0.750
0.399 0.399 0.250
0.601 0.000 0.250
0.601 0.601 0.750
```

Values from the calculation:
- total magnetization (μB per formula unit) = 0.0
- E above lowest polymorph (meV/atom) = 9
- electronic total energy (eV/cell) = -176.777
- volume (Å³/cell) = 292.1
- DFT formation energy (eV/atom) = -0.800

# 8
This record from Alexandria describes HfIr after structural relaxation. The functional is PBEsol.

```
HfIr
1.0
13.970 0.000 0.000
0.000 3.034 0.000
0.000 0.000 4.791
Hf Ir
6 6
Direct
0.086 0.000 0.241
0.250 0.000 0.682
0.414 0.000 0.241
0.586 0.000 0.759
0.750 0.000 0.318
0.914 0.000 0.759
0.079 0.500 0.750
0.250 0.500 0.157
0.421 0.500 0.750
0.579 0.500 0.250
0.750 0.500 0.843
0.921 0.500 0.250
```

Values from the calculation:
- total magnetization (μB per formula unit) = 0.0
- electronic total energy (eV/cell) = -132.936
- volume (Å³/cell) = 203.1
- DFT formation energy (eV/atom) = -0.915